Entry 1:
## ZnCoTcAg (PBE)

Data for a relaxed structure of ZnCoTcAg.

abc: 4.351 4.351 4.351
angles: 60.00 60.00 60.00
Atoms (fractional coordinates):
1 Tc 0.500 0.500 0.500
2 Zn 0.000 0.000 0.000
3 Ag 0.250 0.250 0.250
4 Co 0.750 0.750 0.750

Summary:
As for the size of the total moment: 2.98 Bohr magnetons per cell. The calculation puts the formation energy from the elements at 447 meV per atom. Its symmetry is F-43m.

---

Entry 2:
## CoAgTe2 (PBE)

Data for a relaxed structure of CoAgTe2.

abc: 4.951 4.951 4.951
angles: 60.00 60.00 60.00
Atoms (fractional coordinates):
1 Te 0.000 0.000 0.000
2 Ag 0.500 0.500 0.500
3 Te 0.750 0.750 0.750
4 Co 0.250 0.250 0.250

Summary:
As for the size of the total moment: 1.64 Bohr magnetons per cell. The total energy is -3.3162 eV/atom. Its symmetry is F-43m.

---

Entry 3:
## TlCoAgTe3 (PBE)

Data for a relaxed structure of TlCoAgTe3.

abc: 7.796 7.796 11.030
angles: 90.00 90.00 151.72
Atoms (fractional coordinates):
1 Ag 0.117 0.883 0.750
2 Ag 0.883 0.117 0.250
3 Te 0.113 0.887 0.998
4 Tl 0.227 0.773 0.250
5 Te 0.468 0.532 0.750
6 Te 0.532 0.468 0.250
7 Te 0.887 0.113 0.002
8 Co 0.500 0.500 0.500
9 Co 0.500 0.500 0.000
10 Te 0.887 0.113 0.498
11 Te 0.113 0.887 0.502
12 Tl 0.773 0.227 0.750

Summary:
As for the size of the total moment: 0.00 Bohr magnetons per cell. The total energy is -3.6610 eV/atom. Its symmetry is Cmcm.

---

Entry 4:
## ThCoAg (PBE)

Data for a relaxed structure of ThCoAg.

abc: 4.542 4.542 4.542
angles: 60.00 60.00 60.00
Atoms (fractional coordinates):
1 Th 0.750 0.750 0.750
2 Co 0.000 0.000 0.000
3 Ag 0.250 0.250 0.250

Summary:
As for the size of the total moment: 0.00 Bohr magnetons per cell. The calculation puts the formation energy from the elements at 34 meV per atom. Its symmetry is F-43m.

---

Entry 5:
## Tl2CoAg (PBE)

Data for a relaxed structure of Tl2CoAg.

abc: 4.924 4.924 4.924
angles: 60.00 60.00 60.00
Atoms (fractional coordinates):
1 Tl 0.000 0.000 0.000
2 Tl 0.750 0.750 0.750
3 Ag 0.500 0.500 0.500
4 Co 0.250 0.250 0.250

Summary:
As for the size of the total moment: 1.32 Bohr magnetons per cell. The total energy is -3.0425 eV/atom. Its symmetry is F-43m.

---

Entry 6:
## TlCoAgW (PBE)

Data for a relaxed structure of TlCoAgW.

abc: 4.532 4.532 4.532
angles: 60.00 60.00 60.00
Atoms (fractional coordinates):
1 Ag 0.250 0.250 0.250
2 Tl 0.000 0.000 0.000
3 Co 0.750 0.750 0.750
4 W 0.500 0.500 0.500

Summary:
As for the size of the total moment: 0.29 Bohr magnetons per cell. The total energy is -5.4185 eV/atom. Its symmetry is F-43m.

---

Entry 7:
## YTlCoAg (PBE)

Data for a relaxed structure of YTlCoAg.

abc: 4.839 4.839 4.839
angles: 60.00 60.00 60.00
Atoms (fractional coordinates):
1 Y 0.500 0.500 0.500
2 Co 0.750 0.750 0.750
3 Ag 0.250 0.250 0.250
4 Tl 0.000 0.000 0.000

Summary:
As for the size of the total moment: 1.34 Bohr magnetons per cell. The total energy is -4.6725 eV/atom. Its symmetry is F-43m.

---

Entry 8:
## YTlCoAg (PBE)

Data for a relaxed structure of YTlCoAg.

abc: 4.850 4.850 4.850
angles: 60.00 60.00 60.00
Atoms (fractional coordinates):
1 Ag 0.500 0.500 0.500
2 Tl 0.000 0.000 0.000
3 Co 0.750 0.750 0.750
4 Y 0.250 0.250 0.250

Summary:
As for the size of the total moment: 1.54 Bohr magnetons per cell. The total energy is -4.5693 eV/atom. Its symmetry is F-43m.